1.
Compound: Rb3PmU2S6
Source: the Alexandria database
Functional: PBE-GGA
Structure: optimized geometry

```
data_Rb3PmU2S6
_cell_length_a 7.1268
_cell_length_b 7.1268
_cell_length_c 8.0927
_cell_angle_alpha 98.44
_cell_angle_beta 98.44
_cell_angle_gamma 120.00
_space_group_name_H-M_alt 'P 1'
_space_group_IT_number 1
_space_group_name_Hall 'P 1'
loop_
_atom_site_label
_atom_site_fract_x
_atom_site_fract_y
_atom_site_fract_z
U1 0.3332 0.6668 0.0000
S1 0.7235 0.7235 0.1943
U2 0.6668 0.3332 0.0000
S2 0.9350 0.5939 0.8052
S3 0.4061 0.0650 0.1948
S4 0.2765 0.2765 0.8057
S5 0.0650 0.4061 0.1948
Rb1 0.5000 0.5000 0.5000
Rb2 0.1648 0.8352 0.5000
Rb3 0.8352 0.1648 0.5000
S6 0.5939 0.9350 0.8052
Pm1 0.0000 0.0000 0.0000
```

Uncorrected energy ... -6.087 eV per atom
SG ... C2/m (12)



2.
Compound: Dy2Si4IrRh3
Source: the Alexandria database
Functional: PBE-GGA
Structure: optimized geometry

```
data_Dy2Si4IrRh3
_cell_length_a 4.1194
_cell_length_b 4.1194
_cell_length_c 9.8157
_cell_angle_alpha 90.00
_cell_angle_beta 90.00
_cell_angle_gamma 90.00
_space_group_name_H-M_alt 'P 1'
_space_group_IT_number 1
_space_group_name_Hall 'P 1'
loop_
_atom_site_label
_atom_site_fract_x
_atom_site_fract_y
_atom_site_fract_z
Rh1 0.0000 0.5000 0.1275
Dy1 0.5000 0.0000 0.2439
Si1 0.0000 0.5000 0.3689
Rh2 0.0000 0.0000 0.5000
Si2 0.5000 0.5000 0.0000
Dy2 0.0000 0.5000 0.7561
Si3 0.0000 0.0000 0.0000
Rh3 0.5000 0.0000 0.8725
Ir1 0.5000 0.5000 0.5000
Si4 0.5000 0.0000 0.6311
```

Uncorrected energy ... -7.242 eV per atom
SG ... P-4m2 (115)



3.
Compound: CaCePm2
Source: the Alexandria database
Functional: PBE-GGA
Structure: optimized geometry

```
data_CaCePm2
_cell_length_a 5.8429
_cell_length_b 5.8429
_cell_length_c 5.8429
_cell_angle_alpha 60.00
_cell_angle_beta 60.00
_cell_angle_gamma 60.00
_space_group_name_H-M_alt 'P 1'
_space_group_IT_number 1
_space_group_name_Hall 'P 1'
loop_
_atom_site_label
_atom_site_fract_x
_atom_site_fract_y
_atom_site_fract_z
Ce1 0.5000 0.5000 0.5000
Pm1 0.7500 0.7500 0.7500
Ca1 0.0000 0.0000 0.0000
Pm2 0.2500 0.2500 0.2500
```

Uncorrected energy ... -4.124 eV per atom
SG ... Fm-3m (225)
ΔH_f (0 K) ... 22.7 kJ/mol of atoms